<a>
Entry from the Alexandria database: an optimized crystal structure of LaTe2Br (PBEsol).

Unit cell a=4.4440 b=4.4649 c=5.5890 alpha=90.00 beta=90.00 gamma=90.00
Fractional coordinates of all 4 atoms:
La 0.0000 0.0000 0.0000
Te 0.0000 0.5000 0.5000
Te 0.5000 0.0000 0.5000
Br 0.5000 0.5000 0.0000

## Properties
Magnetic moment: 0.0 μB/cell
Volume: 111 Å³ per cell



<b>
Entry from the Alexandria database: an optimized crystal structure of LaTe2Br (PBEsol).

Unit cell a=5.4390 b=5.4390 c=5.4390 alpha=60.00 beta=60.00 gamma=60.00
Fractional coordinates of all 4 atoms:
La 0.0000 0.0000 0.0000
Te 0.5000 0.5000 0.5000
Te 0.7500 0.7500 0.7500
Br 0.2500 0.2500 0.2500

## Properties
Magnetic moment: 0.0 μB/cell
Volume: 114 Å³ per cell



Most stable: <a> (next structure +23.4 kJ/mol of atoms)



<a>
Entry from the Alexandria database: an optimized crystal structure of La2TlBr (PBEsol).

Unit cell a=4.8783 b=6.2780 c=4.0033 alpha=90.00 beta=90.00 gamma=90.00
Fractional coordinates of all 4 atoms:
La 0.0000 0.0000 0.0000
La 0.5000 0.5000 0.4985
Tl 0.5000 0.0000 0.5004
Br 0.0000 0.5000 0.9985

## Properties
Magnetic moment: 0.0 μB/cell
Volume: 123 Å³ per cell



<b>
Entry from the Alexandria database: an optimized crystal structure of La2TlBr (PBEsol).

Unit cell a=5.4941 b=5.4941 c=5.4941 alpha=124.87 beta=116.57 gamma=88.91
Fractional coordinates of all 4 atoms:
La 0.2388 0.2388 0.0000
La 0.7612 0.7612 0.0000
Tl 0.5000 0.0000 0.5000
Br 0.0000 0.5000 0.5000

## Properties
Magnetic moment: 0.0 μB/cell
Volume: 115 Å³ per cell



Most stable: <a> (next structure +12.9 kJ/mol of atoms)



<a>
Entry from the Alexandria database: an optimized crystal structure of La2TlBr (PBEsol).

Unit cell a=4.4324 b=4.4324 c=6.2708 alpha=90.00 beta=90.00 gamma=90.00
Fractional coordinates of all 4 atoms:
La 0.0000 0.0000 0.0000
La 0.5000 0.5000 0.5000
Tl 0.0000 0.0000 0.5000
Br 0.5000 0.5000 0.0000

## Properties
Magnetic moment: 0.0 μB/cell
Volume: 123 Å³ per cell



<b>
Entry from the Alexandria database: an optimized crystal structure of La2TlBr (PBEsol).

Unit cell a=7.2882 b=7.2882 c=7.2882 alpha=36.55 beta=36.55 gamma=36.55
Fractional coordinates of all 4 atoms:
La 0.2471 0.2471 0.2471
La 0.7529 0.7529 0.7529
Tl 0.0000 0.0000 0.0000
Br 0.5000 0.5000 0.5000

## Properties
Magnetic moment: 0.0 μB/cell
Volume: 123 Å³ per cell



Most stable: <a> (next structure +3.8 kJ/mol of atoms)



<a>
Entry from the Alexandria database: an optimized crystal structure of LaTlBr2 (PBEsol).

Unit cell a=10.4881 b=10.4881 c=10.4881 alpha=22.00 beta=22.00 gamma=22.00
Fractional coordinates of all 4 atoms:
La 0.0000 0.0000 0.0000
Tl 0.5000 0.5000 0.5000
Br 0.0927 0.0927 0.0927
Br 0.9073 0.9073 0.9073

## Properties
Magnetic moment: 0.0 μB/cell
Volume: 142 Å³ per cell



<b>
Entry from the Alexandria database: an optimized crystal structure of LaTlBr2 (PBEsol).

Unit cell a=6.5374 b=6.5374 c=6.5374 alpha=141.11 beta=141.11 gamma=56.17
Fractional coordinates of all 4 atoms:
La 0.0000 0.0000 0.0000
Tl 0.7500 0.2500 0.5000
Br 0.2500 0.7500 0.5000
Br 0.5000 0.5000 0.0000

## Properties
Magnetic moment: 0.0 μB/cell
Volume: 109 Å³ per cell



Most stable: <b> (next structure +23.4 kJ/mol of atoms)